# 1
Computed, not measured: TmIn2Au after structural relaxation at the PBE level of DFT.

final energy = -0.1324 hartree per atom
mass density = 10.811 Mg/m³
symmetry = P4/mmm, No. 123

Unit cell a=3.4330 b=3.4330 c=7.7613 alpha=90.00 beta=90.00 gamma=90.00
Last column: nearest neighbours and their distance in Å.
Positions (direct):
Tm: 0.5000 0.5000 0.5000  8 In 3.25, 4 Tm 3.43
In: 0.0000 0.0000 0.2222  4 Au 2.98, 4 Tm 3.25
In: 0.0000 0.0000 0.7778  4 Au 2.98, 4 Tm 3.25
Au: 0.5000 0.5000 0.0000  8 In 2.98

# 2
Computed, not measured: TmZrInAu after structural relaxation at the PBE level of DFT.

final energy = -0.1903 hartree per atom
mass density = 10.448 Mg/m³
symmetry = F-43m, No. 216

Unit cell a=5.0470 b=5.0470 c=5.0470 alpha=60.00 beta=60.00 gamma=60.00
Last column: nearest neighbours and their distance in Å.
Positions (direct):
In: 0.5000 0.5000 0.5000  4 Zr 3.09, 4 Tm 3.09
Zr: 0.2500 0.2500 0.2500  4 Au 3.09, 4 In 3.09
Au: 0.0000 0.0000 0.0000  4 Tm 3.09, 4 Zr 3.09
Tm: 0.7500 0.7500 0.7500  4 In 3.09, 4 Au 3.09

# 3
Computed, not measured: UInAu2 after structural relaxation at the PBE level of DFT.

final energy = -0.1972 hartree per atom
mass density = 14.160 Mg/m³
symmetry = Fm-3m, No. 225
E above lowest polymorph = 0.0 meV/atom

Unit cell a=4.9846 b=4.9846 c=4.9846 alpha=60.00 beta=60.00 gamma=60.00
Last column: nearest neighbours and their distance in Å.
Positions (direct):
In: 0.5000 0.5000 0.5000  8 Au 3.05
Au: 0.7500 0.7500 0.7500  4 In 3.05, 4 U 3.05
Au: 0.2500 0.2500 0.2500  4 In 3.05, 4 U 3.05
U: 0.0000 0.0000 0.0000  8 Au 3.05

# 4
Computed, not measured: UInAu3 after structural relaxation at the PBE level of DFT.

final energy = -0.1792 hartree per atom
mass density = 13.878 Mg/m³
symmetry = P2_1/m, No. 11

Unit cell a=4.8800 b=7.5152 c=6.6296 alpha=90.00 beta=68.26 gamma=90.00
Last column: nearest neighbours and their distance in Å.
Positions (direct):
Au: 0.8266 0.4919 0.8473  4 Au 2.81-3.09, 3 In 2.89-3.14, 3 U 3.05-3.08
Au: 0.9899 0.7500 0.5168  4 Au 2.81-2.89, 2 In 2.95-2.96, 2 U 3.01
Au: 0.1734 0.5081 0.1527  4 Au 2.81-3.09, 3 In 2.89-3.14, 3 U 3.05-3.08
Au: 0.0101 0.2500 0.4832  4 Au 2.81-2.89, 2 In 2.95-2.96, 2 U 3.01
Au: 0.1734 0.9919 0.1527  4 Au 2.81-3.09, 3 In 2.89-3.14, 3 U 3.05-3.08
Au: 0.8266 0.0081 0.8473  4 Au 2.81-3.09, 3 In 2.89-3.14, 3 U 3.05-3.08
In: 0.3543 0.7500 0.7886  8 Au 2.89-3.14
In: 0.6457 0.2500 0.2114  8 Au 2.89-3.14
U: 0.6342 0.7500 0.2302  8 Au 3.01-3.08
U: 0.3658 0.2500 0.7698  8 Au 3.01-3.08